DFT (GGA-PBE) results for a relaxed DyU2CuS6 crystal.

The structure in POSCAR format:
```
DyU2CuS6
1.0
6.495 0.000 0.000
0.000 6.140 0.000
0.000 0.000 6.140
U Dy S Cu
2 1 6 1
Direct
0.997 0.000 0.500
0.997 0.500 0.000
0.566 0.500 0.500
0.190 0.000 0.000
0.159 0.500 0.500
0.751 0.763 0.237
0.751 0.763 0.763
0.751 0.237 0.237
0.751 0.237 0.763
0.534 0.000 0.000
```

The calculation puts the density of states at the Fermi level at 17.4 states/eV per cell. The calculation puts the formation energy without anion corrections at -0.972 eV/atom. Its theoretical density is 6.066 g cm⁻³. The total magnetic moment comes out at 4.1 μB/f.u. The total energy is -6.58 eV/atom.



DFT (GGA-PBE) results for a relaxed Re2PtCl crystal.

The structure in POSCAR format:
```
Re2PtCl
1.0
-1.667 -1.492 1.717
2.800 -0.163 0.297
-0.224 7.237 6.072
Pt Re Cl
1 2 1
Direct
0.500 0.500 0.767
0.000 0.000 0.015
0.500 0.500 0.248
0.000 0.000 0.469
```

The calculation puts the density of states at the Fermi level at 3.8 states/eV per cell. The calculation puts the formation energy without anion corrections at 0.495 eV/atom. Its theoretical density is 15.306 g cm⁻³. The value obtained for the offset from the most stable computed form is 259.9 meV/atom. The total magnetic moment comes out at 0.0 μB/f.u. The total energy is -7.70 eV/atom.



DFT (GGA-PBE) results for a relaxed LiCe4Dy3S8 crystal.

The structure in POSCAR format:
```
LiCe4Dy3S8
1.0
-1.371 -4.517 -6.326
7.736 0.265 -1.866
-2.212 -2.465 7.163
S Ce Dy Li
8 4 3 1
Direct
0.243 0.735 0.992
0.758 0.265 0.515
0.746 0.738 0.492
0.251 0.265 0.008
0.749 0.735 0.992
0.254 0.262 0.508
0.757 0.265 0.008
0.242 0.735 0.485
0.000 0.000 0.000
0.500 0.000 0.000
0.000 0.000 0.500
0.500 0.000 0.500
0.500 0.500 0.000
0.500 0.500 0.500
0.000 0.500 0.500
0.000 0.500 0.000
```

The calculation puts the density of states at the Fermi level at 23.1 states/eV per cell. The calculation puts the formation energy without anion corrections at -1.963 eV/atom. Its theoretical density is 6.182 g cm⁻³. The total magnetic moment comes out at 4.0 μB/f.u. The total energy is -6.49 eV/atom.



DFT (GGA-PBE) results for a relaxed U2ZnOs crystal.

The structure in POSCAR format:
```
U2ZnOs
1.0
-3.236 1.681 -0.238
-0.616 -1.639 -3.207
-2.607 -4.613 2.859
Zn U Os
1 2 1
Direct
0.500 0.500 0.500
0.000 0.000 0.211
0.000 0.000 0.789
0.500 0.500 0.000
```

The calculation puts the density of states at the Fermi level at 6.7 states/eV per cell. Its theoretical density is 15.113 g cm⁻³. Its energy of formation from the pure elements is 0.1259 eV per atom. The total magnetic moment comes out at 0.0 μB/f.u. The total energy is -8.64 eV/atom.



DFT (GGA-PBE) results for a relaxed MgTeSe crystal.

The structure in POSCAR format:
```
MgTeSe
1.0
-3.318 4.476 3.104
-5.458 3.263 0.517
-1.969 -1.723 2.428
Mg Se Te
1 1 1
Direct
0.964 0.964 0.036
0.384 0.384 0.616
0.652 0.652 0.348
```

The calculation puts the density of states at the Fermi level at 2.9 states/eV per cell. The calculation puts the formation energy without anion corrections at -0.350 eV/atom. Its theoretical density is 5.135 g cm⁻³. The value obtained for the offset from the most stable computed form is 318.4 meV/atom. The total magnetic moment comes out at 0.0 μB/f.u. The total energy is -3.09 eV/atom.



DFT (GGA-PBE) results for a relaxed Ti3FeB crystal.

The structure in POSCAR format:
```
Ti3FeB
1.0
-0.372 -4.348 0.035
4.230 -0.370 -1.009
1.008 -0.052 4.246
Ti Fe B
3 1 1
Direct
0.000 0.500 0.000
0.000 0.000 0.500
0.500 0.000 0.000
0.000 0.000 0.000
0.500 0.500 0.500
```

The calculation puts the density of states at the Fermi level at 8.1 states/eV per cell. Its theoretical density is 4.201 g cm⁻³. Its energy of formation from the pure elements is 0.8561 eV per atom. The value obtained for the offset from the most stable computed form is 722.3 meV/atom. The total magnetic moment comes out at 0.0 μB/f.u. The total energy is -6.91 eV/atom.



DFT (GGA-PBE) results for a relaxed RbHgSb2Te crystal.

The structure in POSCAR format:
```
RbHgSb2Te
1.0
-6.350 3.357 -2.243
0.646 -3.281 -6.741
-3.648 -5.383 2.270
Rb Hg Te Sb
1 1 1 2
Direct
0.000 0.000 0.000
0.500 0.500 0.500
0.000 0.000 0.500
0.000 0.500 0.000
0.500 0.000 0.000
```

The calculation puts the density of states at the Fermi level at 7.9 states/eV per cell. The calculation puts the formation energy without anion corrections at 1.062 eV/atom. Its theoretical density is 2.798 g cm⁻³. The value obtained for the offset from the most stable computed form is 844.0 meV/atom. The total magnetic moment comes out at 4.7 μB/f.u. The total energy is -1.47 eV/atom.



DFT (GGA-PBE) results for a relaxed Sr2CdHg crystal.

The structure in POSCAR format:
```
Sr2CdHg
1.0
-1.713 7.536 -0.796
-5.964 4.977 -0.136
-3.055 6.054 3.793
Hg Sr Cd
1 2 1
Direct
0.793 0.793 0.793
0.215 0.215 0.215
0.035 0.035 0.035
0.457 0.457 0.457
```

The calculation puts the density of states at the Fermi level at 3.3 states/eV per cell. Its theoretical density is 5.180 g cm⁻³. Its energy of formation from the pure elements is -0.2970 eV per atom. The total magnetic moment comes out at 0.0 μB/f.u. The total energy is -1.44 eV/atom.



DFT (GGA-PBE) results for a relaxed Tb7Pr4In crystal.

The structure in POSCAR format:
```
Tb7Pr4In
1.0
5.943 0.000 0.000
2.972 8.300 1.573
2.972 1.083 8.530
Pr Tb In
4 7 1
Direct
0.781 0.746 0.692
0.425 0.716 0.435
0.575 0.284 0.565
0.219 0.254 0.308
0.047 0.651 0.255
0.953 0.349 0.745
0.500 0.000 0.000
0.300 0.522 0.878
0.815 0.032 0.337
0.185 0.968 0.663
0.700 0.478 0.122
0.000 0.000 0.000
```

The calculation puts the density of states at the Fermi level at 16.9 states/eV per cell. Its theoretical density is 7.242 g cm⁻³. Its energy of formation from the pure elements is 0.1358 eV per atom. The total magnetic moment comes out at 0.0 μB/f.u. The total energy is -4.39 eV/atom.